SmLu3N | PBE-GGA | relaxed

The value obtained for the density is 9.94 g/cm3. The value obtained for the size of the total moment is 0.002 μB/f.u. As for the formation energy from raw total energies: -516 meV/atom. Its space group is Pm-3m, No. 221. As for the volume: 23.02 Å³/atom. The value obtained for the total energy is -5.837 eV per atom.

Lattice parameters (Å, degrees): 4.8642 4.8642 4.8642 90.00 90.00 90.00
Closest atoms and distances in Å follow each position.
Element x y z (fractional)
Lu1 0.0000 0.5000 0.0000  2 N 2.43
Lu2 0.0000 0.0000 0.5000  2 N 2.43
Lu3 0.5000 0.0000 0.0000  2 N 2.43
Sm1 0.5000 0.5000 0.5000  12 Lu 3.44
N1 0.0000 0.0000 0.0000  6 Lu 2.43


TlRuCl4 | PBE-GGA | relaxed

The value obtained for the density is 3.37 g/cm3. The value obtained for the size of the total moment is 3.000 μB/f.u. As for the formation energy from raw total energies: -515 meV/atom. Its space group is I-4, No. 82. As for the volume: 36.78 Å³/atom. The value obtained for the total energy is -3.687 eV per atom.

Lattice parameters (Å, degrees): 7.4645 7.4645 6.5990 124.44 124.44 90.00
Closest atoms and distances in Å follow each position.
Element x y z (fractional)
Tl1 0.7500 0.2500 0.5000  8 Cl 3.33
Ru1 0.5000 0.5000 0.0000  4 Cl 2.29
Cl1 0.2960 0.7279 0.0532  1 Ru 2.29
Cl2 0.7572 0.3254 0.0532  1 Ru 2.29
Cl3 0.2721 0.2428 0.9468  1 Ru 2.29
Cl4 0.6746 0.7040 0.9468  1 Ru 2.29


OsPbSe3 | PBE-GGA | relaxed

The value obtained for the density is 8.57 g/cm3. The value obtained for the size of the total moment is 1.398 μB/f.u. As for the formation energy from raw total energies: 329 meV/atom. Its space group is Pm-3m, No. 221. As for the volume: 24.57 Å³/atom. The value obtained for the total energy is -4.749 eV per atom.

Lattice parameters (Å, degrees): 4.9713 4.9713 4.9713 90.00 90.00 90.00
Closest atoms and distances in Å follow each position.
Element x y z (fractional)
Pb1 0.5000 0.5000 0.5000  12 Se 3.52
Os1 0.0000 0.0000 0.0000  6 Se 2.49
Se1 0.0000 0.5000 0.0000  2 Os 2.49
Se2 0.0000 0.0000 0.5000  2 Os 2.49
Se3 0.5000 0.0000 0.0000  2 Os 2.49


CePrTl2 | PBE-GGA | relaxed

The value obtained for the density is 9.72 g/cm3. The calculation puts the formation enthalpy at 0 K at -310 meV per atom. The value obtained for the size of the total moment is 1.256 μB/f.u. Its space group is P4/mmm, No. 123. As for the volume: 29.47 Å³/atom. The value obtained for the total energy is -4.171 eV per atom.

Lattice parameters (Å, degrees): 3.6008 3.6008 9.0922 90.00 90.00 90.00
Closest atoms and distances in Å follow each position.
Element x y z (fractional)
Pr1 0.5000 0.5000 0.5000  8 Tl 3.43, 4 Pr 3.60
Tl1 0.0000 0.0000 0.7527  4 Ce 3.40, 4 Pr 3.43, 4 Tl 3.60
Tl2 0.0000 0.0000 0.2473  4 Ce 3.40, 4 Pr 3.43, 4 Tl 3.60
Ce1 0.5000 0.5000 0.0000  8 Tl 3.40, 4 Ce 3.60


Tl2SCl | PBE-GGA | relaxed

The value obtained for the density is 6.29 g/cm3. The value obtained for the size of the total moment is 0.000 μB/f.u. As for the formation energy from raw total energies: -547 meV/atom. Its space group is P1, No. 1. As for the volume: 31.43 Å³/atom. The value obtained for the total energy is -3.224 eV per atom.

Lattice parameters (Å, degrees): 5.2911 4.3376 10.9572 90.03 90.00 89.97
Closest atoms and distances in Å follow each position.
Element x y z (fractional)
Tl1 0.7007 0.6212 0.1926  3 S 2.65-2.95
Tl2 0.7023 0.6117 0.7574  3 Cl 3.08-3.33
Tl3 0.2030 0.1146 0.4587  3 Cl 3.08-3.33
Tl4 0.2008 0.1211 0.0234  3 S 2.65-2.95
S1 0.2008 0.6271 0.2085  3 Tl 2.65-2.95
S2 0.7008 0.1267 0.0074  3 Tl 2.65-2.95
Cl1 0.2002 0.0719 0.7393  4 Tl 3.08-3.33
Cl2 0.6993 0.5726 0.4766  4 Tl 3.08-3.33


Be2BiH | PBE-GGA | relaxed

The value obtained for the density is 7.10 g/cm3. The value obtained for the size of the total moment is 0.000 μB/f.u. Its space group is I4_1/amd, No. 141. As for the volume: 13.33 Å³/atom. The value obtained for the total energy is -3.254 eV per atom.

Lattice parameters (Å, degrees): 4.3871 4.3871 6.3496 69.79 69.79 90.00
Closest atoms and distances in Å follow each position.
Element x y z (fractional)
Be1 0.3750 0.1250 0.2500  2 H 1.77
Be2 0.3750 0.6250 0.2500  2 H 1.77
Be3 0.3750 0.6250 0.7500  2 H 1.77
Be4 0.8750 0.6250 0.7500  2 H 1.77
Bi1 0.0000 0.0000 0.0000  8 Be 2.82, 4 H 3.10
Bi2 0.7500 0.2500 0.5000  8 Be 2.82, 4 H 3.10
H1 0.5000 0.5000 0.0000  4 Be 1.77
H2 0.2500 0.7500 0.5000  4 Be 1.77


Ti2Nb3Si4 | PBE-GGA | relaxed

The value obtained for the density is 5.65 g/cm3. The value obtained for the size of the total moment is 0.000 μB/f.u. As for the formation energy from raw total energies: -711 meV/atom. Its space group is P2_1/c, No. 14. As for the volume: 15.91 Å³/atom. The value obtained for the total energy is -8.232 eV per atom.

Lattice parameters (Å, degrees): 6.5809 6.7772 6.8019 90.00 90.00 109.28
Closest atoms and distances in Å follow each position.
Element x y z (fractional)
Ti1 0.5599 0.1855 0.3287  6 Si 2.65-2.89
Ti2 0.9401 0.8145 0.8287  6 Si 2.65-2.89
Ti3 0.4401 0.8145 0.6713  6 Si 2.65-2.89
Ti4 0.0599 0.1855 0.1713  6 Si 2.65-2.89
Nb1 0.0000 0.5000 0.5000  6 Si 2.63-2.73, 2 Nb 2.92
Nb2 0.5000 0.5000 0.0000  6 Si 2.63-2.73, 2 Nb 2.92
Nb3 0.7444 0.2503 0.8187  6 Si 2.52-2.68
Nb4 0.7556 0.7497 0.3187  6 Si 2.52-2.68
Nb5 0.2556 0.7497 0.1813  6 Si 2.52-2.68
Nb6 0.2444 0.2503 0.6813  6 Si 2.52-2.68
Si1 0.8505 0.0746 0.5278  1 Si 2.52, 4 Nb 2.52-2.73, 2 Ti 2.65-2.77
Si2 0.6495 0.9254 0.0278  1 Si 2.52, 4 Nb 2.52-2.73, 2 Ti 2.65-2.77
Si3 0.1495 0.9254 0.4722  1 Si 2.52, 4 Nb 2.52-2.73, 2 Ti 2.65-2.77
Si4 0.3505 0.0746 0.9722  1 Si 2.52, 4 Nb 2.52-2.73, 2 Ti 2.65-2.77
Si5 0.8691 0.4778 0.1289  1 Si 2.41, 5 Nb 2.56-2.66, 2 Ti 2.69
Si6 0.6309 0.5222 0.6289  1 Si 2.41, 5 Nb 2.56-2.66, 2 Ti 2.69
Si7 0.1309 0.5222 0.8711  1 Si 2.41, 5 Nb 2.56-2.66, 2 Ti 2.69
Si8 0.3691 0.4778 0.3711  1 Si 2.41, 5 Nb 2.56-2.66, 2 Ti 2.69


Ce12PuTh7 | PBE-GGA | relaxed

The value obtained for the density is 8.70 g/cm3. The calculation puts the formation enthalpy at 0 K at 846 meV per atom. The value obtained for the size of the total moment is 5.811 μB/f.u. Its space group is Im-3, No. 204. As for the volume: 33.86 Å³/atom. The value obtained for the total energy is -6.028 eV per atom.

Lattice parameters (Å, degrees): 9.5822 9.5822 9.5822 109.47 109.47 109.47
Closest atoms and distances in Å follow each position.
Element x y z (fractional)
Ce1 0.4986 0.7024 0.7962  3 Th 2.86-3.18
Ce2 0.9063 0.7024 0.2038  3 Th 2.86-3.18
Ce3 0.5014 0.2976 0.2038  3 Th 2.86-3.18
Ce4 0.0937 0.2976 0.7962  3 Th 2.86-3.18
Ce5 0.7962 0.0937 0.2976  3 Th 2.86-3.18
Ce6 0.7962 0.4986 0.7024  3 Th 2.86-3.18
Ce7 0.2038 0.9063 0.7024  3 Th 2.86-3.18
Ce8 0.2038 0.5014 0.2976  3 Th 2.86-3.18
Ce9 0.7024 0.7962 0.4986  3 Th 2.86-3.18
Ce10 0.2976 0.2038 0.5014  3 Th 2.86-3.18
Ce11 0.7024 0.2038 0.9063  3 Th 2.86-3.18
Ce12 0.2976 0.7962 0.0937  3 Th 2.86-3.18
Pu1 0.0000 0.0000 0.0000  12 Ce 3.99
Th1 0.5000 0.5000 0.0000  4 Ce 3.18
Th2 0.0000 0.5000 0.5000  4 Ce 3.18
Th3 0.5000 0.0000 0.5000  4 Ce 3.18
Th4 0.5000 0.5000 0.5000  6 Ce 2.86
Th5 0.0000 0.0000 0.5000  6 Ce 2.86
Th6 0.5000 0.0000 0.0000  6 Ce 2.86
Th7 0.0000 0.5000 0.0000  6 Ce 2.86


Q: Which value of density does entry 8 give?
A: 8.70 g/cm3